Record 1
# TlNiRuF6

Crystalline TlNiRuF6 at its relaxed geometry (GGA+U, Alexandria via LeMat-Bulk).

a b c (Å): 5.4221 9.3730 6.1018
angles (deg): 90.00 90.17 90.00
Space group C2 (No. 5)
One atom of each set of equivalent atoms:
Tl: 0.0000 0.0000 0.0000 [2 per cell]
Ni: 0.0000 0.6668 0.5000 [2 per cell]
Ru: 0.0000 0.3332 0.5000 [2 per cell]
F: 0.1342 0.4991 0.6788 [4 per cell]
F: 0.1829 0.1838 0.6791 [4 per cell]
F: 0.1856 0.8170 0.6792 [4 per cell]

Properties
Total DFT energy (no corrections) in Ha/atom: -0.171
Volume in A^3/atom: 17.228
Theoretical density in g/cm3: 5.12

***

Record 2
# ZnNiRuF2

Crystalline ZnNiRuF2 at its relaxed geometry (GGA+U, Alexandria via LeMat-Bulk).

a b c (Å): 3.7652 3.7652 5.7555
angles (deg): 90.00 90.00 90.00
Space group P4/mmm (No. 123)
One atom of each set of equivalent atoms:
Zn: 0.0000 0.0000 0.0000 [1 per cell]
Ni: 0.0000 0.0000 0.5000 [1 per cell]
Ru: 0.5000 0.5000 0.5000 [1 per cell]
F: 0.0000 0.5000 0.0000 [2 per cell]

Properties
Total DFT energy (no corrections) in Ha/atom: -0.130
Volume in A^3/atom: 16.318
Theoretical density in g/cm3: 5.36

***

Record 3
# Ni3SF

Crystalline Ni3SF at its relaxed geometry (GGA+U, Alexandria via LeMat-Bulk).

a b c (Å): 4.2226 4.2226 4.2226
angles (deg): 90.00 90.00 90.00
Space group Pm-3m (No. 221)
One atom of each set of equivalent atoms:
Ni: 0.0000 0.0000 0.5000 [3 per cell]
S: 0.0000 0.0000 0.0000 [1 per cell]
F: 0.5000 0.5000 0.5000 [1 per cell]

Properties
Total DFT energy (no corrections) in Ha/atom: -0.086
Polymorph energy (0 for the lowest one) in meV/atom: 352
Volume in A^3/atom: 15.058
Theoretical density in g/cm3: 5.01

***

Record 4
# NiS3F

Crystalline NiS3F at its relaxed geometry (GGA+U, Alexandria via LeMat-Bulk).

a b c (Å): 4.3300 4.3300 4.3300
angles (deg): 90.00 90.00 90.00
Space group Pm-3m (No. 221)
One atom of each set of equivalent atoms:
Ni: 0.0000 0.0000 0.0000 [1 per cell]
S: 0.0000 0.0000 0.5000 [3 per cell]
F: 0.5000 0.5000 0.5000 [1 per cell]

Properties
Total DFT energy (no corrections) in Ha/atom: -0.096
Polymorph energy (0 for the lowest one) in meV/atom: 0
Volume in A^3/atom: 16.236
Theoretical density in g/cm3: 3.56

***

Record 5
# NiSF2

Crystalline NiSF2 at its relaxed geometry (GGA+U, Alexandria via LeMat-Bulk).

a b c (Å): 2.6976 2.6976 23.4831
angles (deg): 90.00 90.00 120.00
Space group R-3m (No. 166, hexagonal axes)
One atom of each set of equivalent atoms:
Ni: 0.0000 0.0000 0.0000 [3 per cell]
S: 0.0000 0.0000 0.5000 [3 per cell]
F: 0.0000 0.0000 0.0751 [6 per cell]

Properties
Total DFT energy (no corrections) in Ha/atom: -0.103
Polymorph energy (0 for the lowest one) in meV/atom: 478
Volume in A^3/atom: 12.333
Theoretical density in g/cm3: 4.33

***

Record 6
# NiS2F2

Crystalline NiS2F2 at its relaxed geometry (GGA+U, Alexandria via LeMat-Bulk).

a b c (Å): 6.7708 3.0451 8.5034
angles (deg): 90.00 93.81 90.00
Space group C2/m (No. 12)
One atom of each set of equivalent atoms:
Ni: 0.0000 0.0000 0.0000 [2 per cell]
S: 0.1102 0.5000 0.5743 [4 per cell]
F: 0.1503 0.5000 0.1018 [4 per cell]

Properties
Total DFT energy (no corrections) in Ha/atom: -0.144
Volume in A^3/atom: 17.493
Theoretical density in g/cm3: 3.05

***

Record 7
# NiSF2

Crystalline NiSF2 at its relaxed geometry (GGA+U, Alexandria via LeMat-Bulk).

a b c (Å): 6.3913 6.3913 7.1997
angles (deg): 90.00 90.00 90.00
Space group I-42d (No. 122)
One atom of each set of equivalent atoms:
Ni: 0.0000 0.0000 0.0000 [4 per cell]
S: 0.0000 0.0000 0.5000 [4 per cell]
F: 0.0882 0.2500 0.1250 [8 per cell]

Properties
Total DFT energy (no corrections) in Ha/atom: -0.121
Polymorph energy (0 for the lowest one) in meV/atom: 0
Volume in A^3/atom: 18.381
Theoretical density in g/cm3: 2.91

***

Record 8
# NiSF2

Crystalline NiSF2 at its relaxed geometry (GGA+U, Alexandria via LeMat-Bulk).

a b c (Å): 2.9767 2.9767 20.6577
angles (deg): 90.00 90.00 120.00
Space group R-3m (No. 166, hexagonal axes)
One atom of each set of equivalent atoms:
Ni: 0.0000 0.0000 0.0000 [3 per cell]
S: 0.0000 0.0000 0.5000 [3 per cell]
F: 0.0000 0.0000 0.4053 [6 per cell]

Properties
Total DFT energy (no corrections) in Ha/atom: -0.114
Polymorph energy (0 for the lowest one) in meV/atom: 195
Volume in A^3/atom: 13.210
Theoretical density in g/cm3: 4.05

***

Record 9
# NiSF

Crystalline NiSF at its relaxed geometry (GGA+U, Alexandria via LeMat-Bulk).

a b c (Å): 5.9948 2.7446 11.5744
angles (deg): 90.00 90.00 90.00
Space group Pnma (No. 62)
One atom of each set of equivalent atoms:
Ni: 0.0448 0.2500 0.1366 [4 per cell]
S: 0.2484 0.2500 0.4998 [4 per cell]
F: 0.0579 0.2500 0.7574 [4 per cell]

Properties
Total DFT energy (no corrections) in Ha/atom: -0.134
Volume in A^3/atom: 15.870
Theoretical density in g/cm3: 3.83

***

Record 10
# Ni3SF

Crystalline Ni3SF at its relaxed geometry (GGA+U, Alexandria via LeMat-Bulk).

a b c (Å): 4.0851 4.0851 4.0851
angles (deg): 90.00 90.00 90.00
Space group Pm-3m (No. 221)
One atom of each set of equivalent atoms:
Ni: 0.0000 0.0000 0.5000 [3 per cell]
S: 0.5000 0.5000 0.5000 [1 per cell]
F: 0.0000 0.0000 0.0000 [1 per cell]

Properties
Total DFT energy (no corrections) in Ha/atom: -0.099
Polymorph energy (0 for the lowest one) in meV/atom: 0
Volume in A^3/atom: 13.634
Theoretical density in g/cm3: 5.53

***

Record 11
# NiS3F

Crystalline NiS3F at its relaxed geometry (GGA+U, Alexandria via LeMat-Bulk).

a b c (Å): 4.3910 4.3910 4.3910
angles (deg): 90.00 90.00 90.00
Space group Pm-3m (No. 221)
One atom of each set of equivalent atoms:
Ni: 0.0000 0.0000 0.0000 [1 per cell]
S: 0.0000 0.5000 0.5000 [3 per cell]
F: 0.5000 0.5000 0.5000 [1 per cell]

Properties
Total DFT energy (no corrections) in Ha/atom: -0.078
Polymorph energy (0 for the lowest one) in meV/atom: 497
Volume in A^3/atom: 16.933
Theoretical density in g/cm3: 3.41

***

Record 12
# NiSF2

Crystalline NiSF2 at its relaxed geometry (GGA+U, Alexandria via LeMat-Bulk).

a b c (Å): 5.7459 5.7459 5.7459
angles (deg): 90.00 90.00 90.00
Space group Fm-3m (No. 225)
One atom of each set of equivalent atoms:
Ni: 0.0000 0.0000 0.0000 [4 per cell]
S: 0.0000 0.0000 0.5000 [4 per cell]
F: 0.2500 0.2500 0.2500 [8 per cell]

Properties
Total DFT energy (no corrections) in Ha/atom: -0.083
Polymorph energy (0 for the lowest one) in meV/atom: 1038
Volume in A^3/atom: 11.856
Theoretical density in g/cm3: 4.51